No. 1
## Zr2CdCl (PBE)

Data for a relaxed Zr2CdCl crystal.

## Properties
Energy relative to the lowest polymorph listed for this composition (eV per atom): 0.242
E_form (uncorrected) (eV per atom): -0.28

Cell lengths 3.179, 5.472, 9.868 Å; angles 90.00, 90.00, 90.00 degrees
Space group Cmmm (No. 65)
One atom of each set of equivalent atoms:
Zr (0.000, 0.000, 0.229)
Cd (0.000, 0.500, 0.500)
Cl (0.000, 0.500, 0.000)

No. 2
## TlAg6Se2 (PBE)

Data for a relaxed TlAg6Se2 crystal.

## Properties
E_form (uncorrected) (eV per atom): -0.08

Cell lengths 4.328, 4.328, 10.612 Å; angles 90.00, 90.00, 90.00 degrees
Space group P4/mmm (No. 123)
One atom of each set of equivalent atoms:
Tl (0.000, 0.000, 0.000)
Ag (0.000, 0.000, 0.500)
Ag (0.000, 0.500, 0.316)
Ag (0.500, 0.500, 0.500)
Se (0.500, 0.500, 0.164)

No. 3
## Pm3TlRh2 (PBE)

Data for a relaxed Pm3TlRh2 crystal.

## Properties
Energy of formation from the pure elements (eV per atom): -0.571

Cell lengths 3.487, 3.487, 12.116 Å; angles 90.00, 90.00, 90.00 degrees
Space group P4/mmm (No. 123)
One atom of each set of equivalent atoms:
Pm (0.000, 0.000, 0.000)
Pm (0.000, 0.000, 0.292)
Tl (0.500, 0.500, 0.500)
Rh (0.500, 0.500, 0.150)

No. 4
## CaFeBr (PBE)

Data for a relaxed CaFeBr crystal.

## Properties
E_form (uncorrected) (eV per atom): 0.05

Cell lengths 4.2688, 4.2688, 3.9226 Å; angles 90.00, 90.00, 120.00 degrees
Space group P-6m2 (No. 187)
One atom of each set of equivalent atoms:
Ca (0.0000, 0.0000, 0.0000)
Fe (0.6667, 0.3333, 0.5000)
Br (0.3333, 0.6667, 0.5000)

Number 1: total DFT energy (no corrections) -5.24 eV per atom. Number 2: total DFT energy (no corrections) -3.02 eV per atom. Number 3: total DFT energy (no corrections) -5.79 eV per atom. Number 4: total DFT energy (no corrections) -3.99 eV per atom.